(1)
Compound: Tl2Co
Source: Alexandria
Functional: PBE
Structure: optimized geometry

POSCAR file:
```
Tl2Co
1.0
5.148 4.524 3.372
-7.452 1.535 0.667
-0.160 -2.117 3.084
Tl Co
6 3
direct
0.262 0.000 0.000
0.000 0.262 0.000
0.738 0.738 0.000
0.597 0.000 0.500
0.000 0.597 0.500
0.403 0.403 0.500
0.333 0.667 0.000
0.667 0.333 0.000
0.000 0.000 0.500
```

The mass density comes out at 12.318 Mg/m³. The calculation puts the calculated formation energy at 0.526 eV/atom. The calculation puts the total energy at -3.42 eV per atom. As for the total magnetization: 0.1707 μB per atom.



(2)
Compound: SnGeH2
Source: Alexandria
Functional: PBE
Structure: optimized geometry

POSCAR file:
```
SnGeH2
1.0
-1.568 -0.549 4.358
4.086 -1.880 1.233
3.104 3.631 4.070
H Ge Sn
4 2 2
direct
0.467 0.125 0.250
0.283 0.625 0.250
0.375 0.533 0.750
0.875 0.717 0.750
0.500 0.500 0.000
0.250 0.750 0.500
0.000 0.000 0.000
0.750 0.250 0.500
```

The mass density comes out at 5.530 Mg/m³. The calculation puts the total energy at -3.33 eV per atom. As for the total magnetization: 0.0000 μB per atom.



(3)
Compound: Pr2Ho5Tm2
Source: Alexandria
Functional: PBE
Structure: optimized geometry

POSCAR file:
```
Pr2Ho5Tm2
1.0
-6.349 9.683 2.941
-3.644 -3.662 4.189
8.563 0.300 2.431
Pr Ho Tm
4 10 4
direct
0.000 0.987 0.000
0.500 0.521 0.000
0.266 0.335 0.518
0.734 0.817 0.482
0.192 0.632 0.863
0.808 0.770 0.137
0.189 0.201 0.904
0.811 0.297 0.096
0.362 0.000 0.214
0.638 0.786 0.786
0.428 0.567 0.357
0.572 0.210 0.643
0.018 0.699 0.529
0.982 0.170 0.471
0.121 0.635 0.221
0.879 0.415 0.779
0.646 0.209 0.289
0.354 0.920 0.711
```

The mass density comes out at 8.177 Mg/m³. The calculation puts the calculated formation energy at 0.172 eV/atom. The calculation puts the total energy at -4.43 eV per atom. As for the total magnetization: 0.0000 μB per atom.



(4)
Compound: CdRe3Rh
Source: Alexandria
Functional: PBE
Structure: optimized geometry

POSCAR file:
```
CdRe3Rh
1.0
-3.310 -2.686 -2.028
1.420 -3.693 2.574
-3.051 1.195 3.398
Re Rh Cd
3 1 1
direct
0.000 0.500 0.000
0.000 0.000 0.500
0.500 0.000 0.000
0.500 0.500 0.500
0.000 0.000 0.000
```

The mass density comes out at 12.219 Mg/m³. The calculation puts the calculated formation energy at 3.297 eV/atom. The calculation puts the total energy at -5.83 eV per atom. As for the total magnetization: 0.0000 μB per atom.



(5)
Compound: Sm3BiRh8
Source: Alexandria
Functional: PBE
Structure: optimized geometry

POSCAR file:
```
Sm3BiRh8
1.0
-4.284 -1.156 3.048
-3.201 -4.126 -1.309
2.442 -7.144 5.476
Sm Bi Rh
3 1 8
direct
0.376 0.376 0.873
0.997 0.997 0.010
0.503 0.503 0.491
0.873 0.873 0.382
0.939 0.437 0.186
0.438 0.937 0.688
0.437 0.437 0.186
0.937 0.937 0.688
0.188 0.188 0.436
0.688 0.688 0.937
0.437 0.939 0.186
0.937 0.438 0.688
```

The mass density comes out at 11.159 Mg/m³. The calculation puts the calculated formation energy at -0.539 eV/atom. The calculation puts the total energy at -6.94 eV per atom. As for the total magnetization: 0.0000 μB per atom.



(6)
Compound: KMgSc2
Source: Alexandria
Functional: PBE
Structure: optimized geometry

POSCAR file:
```
KMgSc2
1.0
5.646 0.001 0.008
4.724 3.093 0.008
0.620 0.185 7.504
K Mg Sc
1 1 2
direct
0.502 0.502 0.493
0.259 0.259 0.180
0.002 0.002 0.990
0.737 0.737 0.837
```

The mass density comes out at 1.943 Mg/m³. The calculation puts the calculated formation energy at 0.414 eV/atom. The calculation puts the total energy at -3.43 eV per atom. As for the total magnetization: 0.1835 μB per atom.



> Among the records above, which one has the highest total magnetization?

KMgSc2